4
Lattice="3.702 0.000 0.000 0.000 3.702 0.000 0.000 0.000 3.831" Properties=species:S:1:pos:R:3 comment="AlFe2Re (GGA-PBE, optimized geometry)" total_magnetization_mub_per_fu=4.78 ef_ev_per_atom=0.008 crystal_system=tetragonal pbc="T T T"
Al 0.000 0.000 0.000
Fe 0.000 1.851 1.916
Fe 1.851 0.000 1.916
Re 1.851 1.851 0.000



4
Lattice="2.602 0.000 0.000 0.000 4.114 0.000 -0.959 0.000 4.811" Properties=species:S:1:pos:R:3 comment="AlFe2Re (GGA-PBE, optimized geometry)" total_magnetization_mub_per_fu=3.56 ef_ev_per_atom=-0.064 crystal_system=monoclinic pbc="T T T"
Al 0.000 0.000 0.000
Fe 1.022 0.000 2.312
Fe 1.634 2.057 1.052
Re 0.086 2.057 3.427



Repeat the first record exactly.
4
Lattice="3.702 0.000 0.000 0.000 3.702 0.000 0.000 0.000 3.831" Properties=species:S:1:pos:R:3 comment="AlFe2Re (GGA-PBE, optimized geometry)" total_magnetization_mub_per_fu=4.78 ef_ev_per_atom=0.008 crystal_system=tetragonal pbc="T T T"
Al 0.000 0.000 0.000
Fe 0.000 1.851 1.916
Fe 1.851 0.000 1.916
Re 1.851 1.851 0.000